[1]
# Er8Te2Os

An optimized crystal structure of Er8Te2Os (GGA-PBE, Alexandria).

abc: 4.0999 7.7630 10.3051
angles: 89.05 101.47 90.00
With the nearest neighbours (Å) after each atom.
Positions (direct):
Er: 0.4079 0.5374 0.8157  2 Te 3.12, 4 Er 3.39-3.48
Er: 0.6326 0.0107 0.2653  1 Os 2.68
Er: 0.7789 0.6808 0.5579  3 Te 3.11-3.16
Er: 0.9961 0.2255 0.9921  2 Os 2.70
Er: 0.2211 0.3192 0.4421  3 Te 3.11-3.16
Er: 0.3674 0.9893 0.7347  1 Os 2.68
Er: 0.5921 0.4626 0.1843  2 Te 3.12, 4 Er 3.39-3.48
Er: 0.0039 0.7745 0.0079  2 Os 2.70
Te: 0.8364 0.3001 0.6729  8 Er 3.11-3.27
Te: 0.1636 0.6999 0.3271  8 Er 3.11-3.27
Os: 0.5000 0.0000 0.0000  6 Er 2.68-2.70

Computed properties:
Fermi-level density of states   10.6 states/eV/f.u.
Space group   No. 12
Formation energy from raw total energies   -44 kJ per mole of atoms

[2]
# Er2ThOs

An optimized crystal structure of Er2ThOs (GGA-PBE, Alexandria).

abc: 6.3512 7.3213 9.3578
angles: 90.00 90.00 90.00
With the nearest neighbours (Å) after each atom.
Positions (direct):
Er: 0.1650 0.6730 0.0663  3 Os 2.91-3.25
Er: 0.3350 0.1730 0.4337  3 Os 2.91-3.25
Er: 0.8350 0.3270 0.5663  3 Os 2.91-3.25
Er: 0.6650 0.8270 0.9337  3 Os 2.91-3.25
Er: 0.8350 0.3270 0.9337  3 Os 2.91-3.25
Er: 0.6650 0.8270 0.5663  3 Os 2.91-3.25
Er: 0.1650 0.6730 0.4337  3 Os 2.91-3.25
Er: 0.3350 0.1730 0.0663  3 Os 2.91-3.25
Th: 0.6478 0.5441 0.2500  2 Os 2.68-2.80
Th: 0.8522 0.0441 0.2500  2 Os 2.68-2.80
Th: 0.3522 0.4559 0.7500  2 Os 2.68-2.80
Th: 0.1478 0.9559 0.7500  2 Os 2.68-2.80
Os: 0.0411 0.3708 0.2500  2 Th 2.68-2.80, 4 Er 2.91-2.92
Os: 0.4589 0.8708 0.2500  2 Th 2.68-2.80, 4 Er 2.91-2.92
Os: 0.9589 0.6292 0.7500  2 Th 2.68-2.80, 4 Er 2.91-2.92
Os: 0.5411 0.1292 0.7500  2 Th 2.68-2.80, 4 Er 2.91-2.92

Computed properties:
Fermi-level density of states   3.6 states/eV/f.u.
DFT formation energy   -0.292 eV/atom
Space group   No. 62

[3]
# Er2ThOs

An optimized crystal structure of Er2ThOs (GGA-PBE, Alexandria).

abc: 3.4137 3.4137 8.8845
angles: 90.00 90.00 90.00
With the nearest neighbours (Å) after each atom.
Positions (direct):
Os: 0.5000 0.5000 0.0000  8 Er 2.91
Th: 0.5000 0.5000 0.5000  4 Th 3.41, 8 Er 3.71
Er: 0.0000 0.0000 0.8170  4 Os 2.91, 1 Er 3.25
Er: 0.0000 0.0000 0.1830  4 Os 2.91, 1 Er 3.25

Computed properties:
Fermi-level density of states   3.9 states/eV/f.u.
DFT formation energy   -0.116 eV/atom
Space group   No. 123

[4]
# ErThOs2

An optimized crystal structure of ErThOs2 (GGA-PBE, Alexandria).

abc: 3.4870 4.9102 4.9102
angles: 90.00 90.00 90.00
With the nearest neighbours (Å) after each atom.
Positions (direct):
Os: 0.0000 0.0000 0.5000  4 Th 3.01, 4 Er 3.01
Os: 0.0000 0.5000 0.0000  4 Th 3.01, 4 Er 3.01
Th: 0.5000 0.5000 0.5000  8 Os 3.01
Er: 0.5000 0.0000 0.0000  8 Os 3.01

Computed properties:
Fermi-level density of states   1.6 states/eV/f.u.
DFT formation energy   -0.197 eV/atom
Space group   No. 123

[5]
# Er2ThOs

An optimized crystal structure of Er2ThOs (GGA-PBE, Alexandria).

abc: 3.9037 6.3325 9.2241
angles: 90.00 90.00 107.89
With the nearest neighbours (Å) after each atom.
Positions (direct):
Er: 0.3537 0.7078 0.5695  3 Os 2.92-3.15
Er: 0.6463 0.2922 0.4305  3 Os 2.92-3.15
Er: 0.3537 0.7078 0.9305  3 Os 2.92-3.15
Er: 0.6463 0.2922 0.0695  3 Os 2.92-3.15
Th: 0.9263 0.8518 0.2500  2 Os 2.77-2.78
Th: 0.0737 0.1482 0.7500  2 Os 2.77-2.78
Os: 0.7377 0.4755 0.7500  2 Th 2.77-2.78, 4 Er 2.92
Os: 0.2623 0.5245 0.2500  2 Th 2.77-2.78, 4 Er 2.92

Computed properties:
Fermi-level density of states   5.1 states/eV/f.u.
DFT formation energy   -0.243 eV/atom
Space group   No. 63

[6]
# Er3Th2Os2

An optimized crystal structure of Er3Th2Os2 (GGA-PBE, Alexandria).

abc: 3.9301 6.3928 8.5475
angles: 105.40 103.29 107.90
With the nearest neighbours (Å) after each atom.
Positions (direct):
Er: 0.5000 0.0000 0.0000  4 Os 3.00, 2 Er 3.29
Er: 0.2034 0.8296 0.5772  3 Os 2.93-3.11
Er: 0.7966 0.1704 0.4228  3 Os 2.93-3.11
Th: 0.6475 0.4895 0.8055  2 Os 2.77
Th: 0.3525 0.5105 0.1945  2 Os 2.77
Os: 0.0217 0.8375 0.2060  2 Th 2.77, 4 Er 2.93-3.00
Os: 0.9783 0.1625 0.7940  2 Th 2.77, 4 Er 2.93-3.00

Computed properties:
Fermi-level density of states   7.3 states/eV/f.u.
DFT formation energy   -0.269 eV/atom
Space group   No. 12

[7]
# Er2ThOs9

An optimized crystal structure of Er2ThOs9 (GGA-PBE, Alexandria).

abc: 5.3378 5.3378 9.2287
angles: 73.19 73.19 60.00
With the nearest neighbours (Å) after each atom.
Positions (direct):
Er: 0.8592 0.8592 0.4223  12 Os 3.05-3.19, 3 Er 3.37
Er: 0.1408 0.1408 0.5777  12 Os 3.05-3.19, 3 Er 3.37
Th: 0.0000 0.0000 0.0000  6 Os 3.09
Os: 0.6605 0.6605 0.0184  6 Os 2.59-2.79
Os: 0.3395 0.3395 0.9816  6 Os 2.59-2.79
Os: 0.5000 0.5000 0.5000  6 Os 2.68
Os: 0.4097 0.4097 0.2526  7 Os 2.57-2.79
Os: 0.9281 0.4097 0.2526  7 Os 2.57-2.79
Os: 0.4097 0.9281 0.2526  7 Os 2.57-2.79
Os: 0.5903 0.5903 0.7474  7 Os 2.57-2.79
Os: 0.5903 0.0719 0.7474  7 Os 2.57-2.79
Os: 0.0719 0.5903 0.7474  7 Os 2.57-2.79

Computed properties:
Fermi-level density of states   11.6 states/eV/f.u.
DFT formation energy   -0.131 eV/atom
Space group   No. 166

[8]
# ErThOs2

An optimized crystal structure of ErThOs2 (GGA-PBE, Alexandria).

abc: 4.9205 4.9205 4.9205
angles: 60.00 60.00 60.00
With the nearest neighbours (Å) after each atom.
Positions (direct):
Os: 0.2500 0.2500 0.2500  4 Er 3.01, 4 Th 3.01
Os: 0.7500 0.7500 0.7500  4 Er 3.01, 4 Th 3.01
Th: 0.0000 0.0000 0.0000  8 Os 3.01
Er: 0.5000 0.5000 0.5000  8 Os 3.01

Computed properties:
Fermi-level density of states   3.2 states/eV/f.u.
DFT formation energy   -0.195 eV/atom
Space group   No. 225

[9]
# Er4ThOs2

An optimized crystal structure of Er4ThOs2 (GGA-PBE, Alexandria).

abc: 6.2528 7.9204 7.7906
angles: 112.32 90.00 90.00
With the nearest neighbours (Å) after each atom.
Positions (direct):
Os: 0.2500 0.2406 0.9764  4 Er 2.75-3.01
Os: 0.7500 0.7594 0.0236  4 Er 2.75-3.01
Os: 0.7500 0.3717 0.4122  6 Er 2.74-3.03, 1 Th 2.79
Os: 0.2500 0.6283 0.5878  6 Er 2.74-3.03, 1 Th 2.79
Th: 0.2500 0.8411 0.9666  1 Os 2.79
Th: 0.7500 0.1589 0.0334  1 Os 2.79
Er: 0.5015 0.4184 0.7607  4 Os 2.96-3.11, 2 Er 3.11-3.15
Er: 0.2500 0.2531 0.3345  2 Os 2.75-2.88
Er: 0.7500 0.7469 0.6655  2 Os 2.75-2.88
Er: 0.9985 0.4184 0.7607  4 Os 2.96-3.11, 2 Er 3.11-3.15
Er: 0.7500 0.0175 0.3902  2 Os 2.74-2.81
Er: 0.0015 0.5816 0.2393  4 Os 2.96-3.11, 2 Er 3.11-3.15
Er: 0.4985 0.5816 0.2393  4 Os 2.96-3.11, 2 Er 3.11-3.15
Er: 0.2500 0.9825 0.6098  2 Os 2.74-2.81

Computed properties:
Fermi-level density of states   6.9 states/eV/f.u.
DFT formation energy   -0.211 eV/atom
Space group   No. 11

[10]
# Er2ThOs

An optimized crystal structure of Er2ThOs (GGA-PBE, Alexandria).

abc: 3.3495 3.3495 11.1404
angles: 81.35 81.35 60.00
With the nearest neighbours (Å) after each atom.
Positions (direct):
Os: 0.5000 0.5000 0.5000  6 Er 2.82
Th: 0.0000 0.0000 0.0000  6 Th 3.35, 2 Er 3.43
Er: 0.1043 0.1043 0.6872  3 Os 2.82
Er: 0.8957 0.8957 0.3128  3 Os 2.82

Computed properties:
Fermi-level density of states   5.2 states/eV/f.u.
DFT formation energy   0.253 eV/atom
Space group   No. 166

[11]
# Er3Th3Tl2Os

An optimized crystal structure of Er3Th3Tl2Os (GGA-PBE, Alexandria).

abc: 3.8213 8.7862 8.7862
angles: 120.00 90.00 90.00
With the nearest neighbours (Å) after each atom.
Positions (direct):
Er: 0.0000 0.6073 0.6073  4 Tl 3.31, 1 Os 3.45, 6 Th 3.57-3.70
Er: 0.0000 0.0000 0.3927  4 Tl 3.31, 1 Os 3.45, 6 Th 3.57-3.70
Er: 0.0000 0.3927 0.0000  4 Tl 3.31, 1 Os 3.45, 6 Th 3.57-3.70
Th: 0.5000 0.7540 0.0000  2 Os 2.88
Th: 0.5000 0.0000 0.7540  2 Os 2.88
Th: 0.5000 0.2460 0.2460  2 Os 2.88
Tl: 0.5000 0.6667 0.3333  6 Er 3.31, 3 Th 3.38
Tl: 0.5000 0.3333 0.6667  6 Er 3.31, 3 Th 3.38
Os: 0.0000 0.0000 0.0000  6 Th 2.88

Computed properties:
Fermi-level density of states   7.4 states/eV/f.u.
DFT formation energy   -0.271 eV/atom
Space group   No. 189

[12]
# ErThTlOs

An optimized crystal structure of ErThTlOs (GGA-PBE, Alexandria).

abc: 3.4091 3.4091 8.5167
angles: 90.00 90.00 90.00
With the nearest neighbours (Å) after each atom.
Positions (direct):
Er: 0.5000 0.5000 0.3641  4 Os 2.95
Th: 0.5000 0.5000 0.7745  4 Os 3.01
Tl: 0.0000 0.0000 0.0830  4 Er 3.40, 4 Tl 3.41, 4 Th 3.57
Os: 0.0000 0.0000 0.5630  4 Er 2.95, 4 Th 3.01

Computed properties:
Fermi-level density of states   1.6 states/eV/f.u.
DFT formation energy   -0.315 eV/atom
Space group   No. 99

[13]
# ErThZnOs

An optimized crystal structure of ErThZnOs (GGA-PBE, Alexandria).

abc: 5.0017 5.0017 5.0017
angles: 60.00 60.00 60.00
With the nearest neighbours (Å) after each atom.
Positions (direct):
Zn: 0.0000 0.0000 0.0000  4 Er 3.06, 4 Th 3.06
Os: 0.5000 0.5000 0.5000  4 Th 3.06, 4 Er 3.06
Th: 0.7500 0.7500 0.7500  4 Os 3.06, 4 Zn 3.06
Er: 0.2500 0.2500 0.2500  4 Os 3.06, 4 Zn 3.06

Computed properties:
Fermi-level density of states   2.1 states/eV/f.u.
DFT formation energy   -0.271 eV/atom
Space group   No. 216

[14]
# ErTiOs2

An optimized crystal structure of ErTiOs2 (GGA-PBE, Alexandria).

abc: 3.1931 3.1931 6.6604
angles: 90.00 90.00 90.00
With the nearest neighbours (Å) after each atom.
Positions (direct):
Ti: 0.5000 0.5000 0.0000  8 Os 2.69
Os: 0.0000 0.0000 0.7794  4 Ti 2.69, 4 Er 2.93, 1 Os 2.94
Os: 0.0000 0.0000 0.2206  4 Ti 2.69, 4 Er 2.93, 1 Os 2.94
Er: 0.5000 0.5000 0.5000  8 Os 2.93, 4 Er 3.19

Computed properties:
Fermi-level density of states   3.3 states/eV/f.u.
DFT formation energy   -0.371 eV/atom
Space group   No. 123

[15]
# ErTiZnOs

An optimized crystal structure of ErTiZnOs (GGA-PBE, Alexandria).

abc: 4.6450 4.6450 4.6450
angles: 60.00 60.00 60.00
With the nearest neighbours (Å) after each atom.
Positions (direct):
Zn: 0.2500 0.2500 0.2500  4 Er 2.84, 4 Ti 2.84
Ti: 0.5000 0.5000 0.5000  4 Os 2.84, 4 Zn 2.84
Os: 0.7500 0.7500 0.7500  4 Ti 2.84, 4 Er 2.84
Er: 0.0000 0.0000 0.0000  4 Os 2.84, 4 Zn 2.84

Computed properties:
Fermi-level density of states   2.7 states/eV/f.u.
DFT formation energy   -0.236 eV/atom
Space group   No. 216

[16]
# Er6Tl2Os

An optimized crystal structure of Er6Tl2Os (GGA-PBE, Alexandria).

abc: 3.9372 8.4579 8.4578
angles: 120.00 90.00 90.00
With the nearest neighbours (Å) after each atom.
Positions (direct):
Er: 0.5000 0.6168 0.0000  1 Os 3.24, 4 Tl 3.29, 4 Er 3.45
Er: 0.5000 0.3833 0.3833  1 Os 3.24, 4 Tl 3.29, 4 Er 3.46
Er: 0.5000 0.0000 0.6167  1 Os 3.24, 4 Tl 3.29, 4 Er 3.46
Er: 0.0000 0.2417 0.0000  2 Os 2.84
Er: 0.0000 0.7583 0.7582  2 Os 2.84
Er: 0.0000 0.0000 0.2418  2 Os 2.84
Tl: 0.0000 0.3333 0.6667  9 Er 3.28-3.29
Tl: 0.0000 0.6666 0.3333  9 Er 3.28-3.29
Os: 0.5000 0.0000 0.0000  6 Er 2.84

Computed properties:
Fermi-level density of states   9.6 states/eV/f.u.
DFT formation energy   -0.302 eV/atom
Space group   No. 189

[17]
# Er8TlOs2

An optimized crystal structure of Er8TlOs2 (GGA-PBE, Alexandria).

abc: 5.1739 6.9332 9.0109
angles: 112.56 106.67 90.01
With the nearest neighbours (Å) after each atom.
Positions (direct):
Tl: 0.1365 0.9809 0.9090  9 Er 2.98-3.32
Os: 0.8055 0.6192 0.2485  6 Er 2.73-3.02
Os: 0.4659 0.2790 0.5686  6 Er 2.74-3.01
Er: 0.6363 0.2742 0.9084  2 Os 2.95, 2 Er 3.22, 2 Tl 3.29
Er: 0.9664 0.0163 0.5695  3 Os 3.02-3.17, 1 Tl 3.04, 3 Er 3.22
Er: 0.3061 0.3554 0.2485  3 Os 3.01-3.17, 1 Tl 3.04, 3 Er 3.22
Er: 0.7477 0.9324 0.1319  1 Os 2.73
Er: 0.3469 0.8516 0.3308  3 Os 2.85-2.98
Er: 0.9257 0.4308 0.4878  3 Os 2.85-2.98
Er: 0.1374 0.5513 0.9099  1 Tl 2.98, 2 Er 3.22
Er: 0.5256 0.7088 0.6871  1 Os 2.74

Computed properties:
Fermi-level density of states   8.7 states/eV/f.u.
DFT formation energy   -0.209 eV/atom
Space group   No. 8

[18]
# Er3TlOs

An optimized crystal structure of Er3TlOs (GGA-PBE, Alexandria).

abc: 5.7888 5.7888 8.8089
angles: 101.96 101.96 111.67
With the nearest neighbours (Å) after each atom.
Positions (direct):
Er: 0.2984 0.7984 0.0969  4 Os 3.00, 2 Er 3.31
Er: 0.7016 0.2016 0.9031  4 Os 3.00, 2 Er 3.31
Er: 0.0742 0.1969 0.2712  2 Os 2.81
Er: 0.9258 0.8031 0.7288  2 Os 2.81
Er: 0.6969 0.5743 0.2712  2 Os 2.81
Er: 0.3031 0.4257 0.7288  2 Os 2.81
Tl: 0.7182 0.2182 0.5000  1 Tl 2.84
Tl: 0.2818 0.7818 0.5000  1 Tl 2.84
Os: 0.2500 0.2500 0.0000  8 Er 2.81-3.00
Os: 0.7500 0.7500 0.0000  8 Er 2.81-3.00

Computed properties:
Fermi-level density of states   2.9 states/eV/f.u.
DFT formation energy   -0.322 eV/atom
Space group   No. 69

[19]
# Er7Tl2Os2

An optimized crystal structure of Er7Tl2Os2 (GGA-PBE, Alexandria).

abc: 6.7611 7.0771 6.7611
angles: 90.00 105.44 90.00
With the nearest neighbours (Å) after each atom.
Positions (direct):
Er: 0.0000 0.2458 0.5000  2 Os 2.72
Er: 0.5000 0.7542 0.0000  2 Os 2.72
Er: 0.0000 0.7542 0.5000  2 Os 2.72
Er: 0.5000 0.2458 0.0000  2 Os 2.72
Er: 0.0000 0.0000 0.0000  2 Os 3.12
Er: 0.5000 0.7622 0.5000  2 Os 2.82
Er: 0.5000 0.2378 0.5000  2 Os 2.82
Tl: 0.8174 0.5000 0.8174  1 Tl 2.99, 6 Er 3.19-3.28
Tl: 0.1826 0.5000 0.1826  1 Tl 2.99, 6 Er 3.19-3.28
Os: 0.7099 0.0000 0.2901  6 Er 2.72-2.82
Os: 0.2901 0.0000 0.7099  6 Er 2.72-2.82

Computed properties:
Fermi-level density of states   8.7 states/eV/f.u.
DFT formation energy   -0.184 eV/atom
Space group   No. 65

[20]
# Er3TlOs

An optimized crystal structure of Er3TlOs (GGA-PBE, Alexandria).

abc: 5.1845 7.1069 8.4984
angles: 113.70 90.00 111.39
With the nearest neighbours (Å) after each atom.
Positions (direct):
Er: 0.9321 0.8642 0.7737  2 Os 2.69-2.99
Er: 0.0679 0.1358 0.2263  2 Os 2.69-2.99
Er: 0.5938 0.1875 0.8616  3 Os 2.77-2.91
Er: 0.4062 0.8125 0.1384  3 Os 2.77-2.91
Er: 0.7721 0.5442 0.2611  1 Os 2.77
Er: 0.2279 0.4558 0.7389  1 Os 2.77
Tl: 0.3683 0.7366 0.5016  7 Er 3.20-3.33, 1 Tl 3.50
Tl: 0.6317 0.2634 0.4984  7 Er 3.20-3.33, 1 Tl 3.50
Os: 0.1758 0.3516 0.0210  6 Er 2.69-2.99
Os: 0.8242 0.6484 0.9790  6 Er 2.69-2.99

Computed properties:
Fermi-level density of states   3.5 states/eV/f.u.
DFT formation energy   -0.230 eV/atom
Space group   No. 12